A plane-wave DFT calculation with GGA-PBEsol was carried out for an optimized crystal structure of Mn5Co.

Calculated values
- Space group: Cm (8)
- Energy: -9.412 eV/atom
- Energy above the most stable polymorph in this dataset: 3 meV per atom
- Calculated formation energy: 11.4 meV per atom

Cell and atoms, written as POSCAR:
```
Mn5Co
1.0
-0.0502 2.1541 -1.1374
1.7288 -2.9706 -3.0929
-5.7327 -0.4970 -0.6881
Mn Co
5 1
Direct
0.7219 0.4438 0.9462
0.6647 0.3295 0.3312
0.3912 0.7824 0.2782
0.0548 0.1097 0.6138
0.3344 0.6688 0.6635
0.9996 0.9991 0.0003
```